Record 1
Density functional theory data (PBE-GGA) for a relaxed structure of SrIn4Pb4.

a = 6.8949 Å, b = 6.8949 Å, c = 11.9745 Å
α = 90.00°, β = 90.00°, γ = 90.00°
Space group P4_2/nmc (No. 137, origin choice 2)
Symmetry-distinct sites (fractional):
Sr 0.2500 0.7500 0.2500 [2 per cell]
In 0.0376 0.2500 0.1946 [8 per cell]
Pb 0.0036 0.7500 0.5310 [8 per cell]

## Properties
The density of states at the Fermi level is 6.76 states/eV/cell.

---

Record 2
Density functional theory data (PBE-GGA) for a relaxed structure of LiCa5Au4.

a = 3.6963 Å, b = 3.6963 Å, c = 18.4874 Å
α = 90.00°, β = 90.00°, γ = 90.00°
Space group P4/mmm (No. 123)
Symmetry-distinct sites (fractional):
Li 0.0000 0.0000 0.0000 [1 per cell]
Ca 0.5000 0.5000 0.1168 [2 per cell]
Ca 0.5000 0.5000 0.3068 [2 per cell]
Ca 0.5000 0.5000 0.5000 [1 per cell]
Au 0.0000 0.0000 0.2066 [2 per cell]
Au 0.0000 0.0000 0.4032 [2 per cell]

## Properties
The density of states at the Fermi level is 6.23 states/eV/cell.

---

Record 3
Density functional theory data (PBE-GGA) for a relaxed structure of Tb2Pr4Er2Tm.

a = 15.3520 Å, b = 5.1103 Å, c = 8.0518 Å
α = 90.00°, β = 108.55°, γ = 90.00°
Space group C2/m (No. 12)
Symmetry-distinct sites (fractional):
Tb 0.1115 0.0000 0.1711 [4 per cell]
Pr 0.0538 0.5000 0.8301 [4 per cell]
Pr 0.2226 0.0000 0.8305 [4 per cell]
Er 0.1670 0.5000 0.4996 [4 per cell]
Tm 0.0000 0.0000 0.5000 [2 per cell]

## Properties
The density of states at the Fermi level is 28.58 states/eV/cell.

---

Record 4
Density functional theory data (PBE-GGA) for a relaxed structure of GdTmZnPt.

a = 7.0383 Å, b = 7.0383 Å, c = 7.0383 Å
α = 90.00°, β = 90.00°, γ = 90.00°
Space group F-43m (No. 216)
Symmetry-distinct sites (fractional):
Gd 0.0000 0.0000 0.0000 [4 per cell]
Tm 0.0000 0.0000 0.5000 [4 per cell]
Zn 0.2500 0.2500 0.2500 [4 per cell]
Pt 0.2500 0.2500 0.7500 [4 per cell]

## Properties
The density of states at the Fermi level is 11.59 states/eV/cell.

---

Formation enthalpy at 0 K for the records above, in order: -0.092; -0.639; 0.025; -0.789 eV/atom